1.
Material: ReSbBr3
Method: DFT, PBE
State: relaxed

Lattice parameters (Å, degrees): 5.1870 5.1870 5.1870 90.00 90.00 90.00
Closest atoms and distances in Å follow each position.
Space group Pm-3m (No. 221)
Inequivalent atoms, fractional coordinates:
Re 0.0000 0.0000 0.0000 [1 per cell]  6 Br 2.59
Sb 0.5000 0.5000 0.5000 [1 per cell]  12 Br 3.67
Br 0.0000 0.0000 0.5000 [3 per cell]  2 Re 2.59

Values from the calculation:
Crystal system ... cubic
Uncorrected formation energy ... 3.59 eV per formula unit


2.
Material: LaMgSn2Pd4
Method: DFT, PBE
State: relaxed

Lattice parameters (Å, degrees): 4.5771 4.5771 26.3512 90.00 90.00 120.00
Closest atoms and distances in Å follow each position.
Space group R-3m (No. 166, hexagonal axes)
Inequivalent atoms, fractional coordinates:
La 0.0000 0.0000 0.0000 [3 per cell]  8 Pd 3.17-3.52
Mg 0.0000 0.0000 0.5000 [3 per cell]  8 Pd 2.65-2.78
Sn 0.0000 0.0000 0.2414 [6 per cell]  7 Pd 2.73-2.86
Pd 0.0000 0.0000 0.1337 [6 per cell]  3 Mg 2.78, 4 Sn 2.84-2.86
Pd 0.0000 0.0000 0.3996 [6 per cell]  1 Mg 2.65, 3 Sn 2.73

Values from the calculation:
Crystal system ... trigonal
Energy ... -41.3 eV/f.u.


3.
Material: Li5PmHg7
Method: DFT, PBE
State: relaxed

Lattice parameters (Å, degrees): 5.4728 9.9458 9.7373 90.00 90.00 90.00
Closest atoms and distances in Å follow each position.
Space group Imm2 (No. 44)
Inequivalent atoms, fractional coordinates:
Li 0.0000 0.0000 0.0000 [2 per cell]  6 Hg 2.84-2.91, 4 Li 2.89
Li 0.2465 0.2458 0.5119 [8 per cell]  3 Li 2.70-2.89, 7 Hg 2.75-3.01
Pm 0.0000 0.5000 0.2520 [2 per cell]  10 Hg 3.23-3.48
Hg 0.0000 0.0000 0.5319 [2 per cell]  4 Li 2.80, 4 Hg 3.01-3.03
Hg 0.0000 0.1639 0.2481 [4 per cell]  5 Li 2.83-3.01, 2 Hg 3.13
Hg 0.0000 0.1855 0.7783 [4 per cell]  5 Li 2.75-2.99, 1 Hg 3.03
Hg 0.0000 0.5000 0.5842 [2 per cell]  6 Li 2.86-2.95, 1 Hg 3.11
Hg 0.0000 0.5000 0.9037 [2 per cell]  4 Li 3.00, 5 Hg 3.01-3.36

Values from the calculation:
Crystal system ... orthorhombic
Energy ... -20.5 eV/f.u.


4.
Material: NaLaN2F
Method: DFT, PBE
State: relaxed

Lattice parameters (Å, degrees): 4.3925 4.3925 4.8296 90.00 90.00 90.00
Closest atoms and distances in Å follow each position.
Space group P4/mmm (No. 123)
Inequivalent atoms, fractional coordinates:
Na 0.0000 0.0000 0.0000 [1 per cell]  4 F 3.11, 8 N 3.26
La 0.5000 0.5000 0.5000 [1 per cell]  4 N 2.20, 2 F 2.41
N 0.0000 0.5000 0.5000 [2 per cell]  2 La 2.20
F 0.5000 0.5000 0.0000 [1 per cell]  2 La 2.41

Values from the calculation:
Crystal system ... tetragonal
Uncorrected formation energy ... -2.55 eV per formula unit


5.
Material: LaSbPd2Au2
Method: DFT, PBE
State: relaxed

Lattice parameters (Å, degrees): 5.3247 5.3247 10.5334 90.00 90.00 90.00
Closest atoms and distances in Å follow each position.
Space group I4/mmm (No. 139)
Inequivalent atoms, fractional coordinates:
La 0.0000 0.0000 0.0000 [2 per cell]  2 Pd 2.66
Sb 0.0000 0.0000 0.5000 [2 per cell]  2 Pd 2.61
Pd 0.0000 0.0000 0.2523 [4 per cell]  1 Sb 2.61, 1 La 2.66, 4 Au 2.66
Au 0.0000 0.5000 0.2500 [4 per cell]  4 Pd 2.66

Values from the calculation:
Crystal system ... tetragonal
Uncorrected formation energy ... -1.54 eV per formula unit


6.
Material: CaTcSb2F
Method: DFT, PBE
State: relaxed

Lattice parameters (Å, degrees): 5.6404 5.6404 5.1522 90.00 90.00 90.00
Closest atoms and distances in Å follow each position.
Space group P4/mmm (No. 123)
Inequivalent atoms, fractional coordinates:
Ca 0.0000 0.0000 0.0000 [1 per cell]  2 Tc 2.58, 4 Sb 2.82
Tc 0.0000 0.0000 0.5000 [1 per cell]  2 Ca 2.58
Sb 0.0000 0.5000 0.0000 [2 per cell]  2 Ca 2.82
F 0.5000 0.5000 0.5000 [1 per cell]  8 Sb 3.82, 4 Tc 3.99

Values from the calculation:
Crystal system ... tetragonal
Uncorrected formation energy ... 5.61 eV per formula unit